(1)
Entry from Alexandria via LeMat-Bulk: a geometry-optimized AcTbInBi structure (GGA-PBE).

Unit cell a=5.6717 b=5.6717 c=5.6717 alpha=60.00 beta=60.00 gamma=60.00
Atoms (fractional coordinates):
Ac  0.0000  0.0000  0.0000
Tb  0.5000  0.5000  0.5000
In  0.2500  0.2500  0.2500
Bi  0.7500  0.7500  0.7500

Values from the calculation:
Calculated total energy, eV per atom: -4.30
Density, g/cm3: 9.135
V, Å³/f.u.: 129.0



(2)
Entry from Alexandria via LeMat-Bulk: a geometry-optimized Ac4TmSe6 structure (GGA-PBE).

Unit cell a=8.6511 b=8.6511 c=8.6511 alpha=90.35 beta=90.35 gamma=90.35
Atoms (fractional coordinates):
Ac  0.1288  0.7500  0.3712
Ac  0.2500  0.2500  0.2500
Ac  0.2500  0.6288  0.8712
Ac  0.3712  0.1288  0.7500
Ac  0.6288  0.8712  0.2500
Ac  0.7500  0.3712  0.1288
Ac  0.7500  0.7500  0.7500
Ac  0.8712  0.2500  0.6288
Tm  0.0000  0.0000  0.0000
Tm  0.5000  0.5000  0.5000
Se  0.0619  0.9201  0.6923
Se  0.0799  0.3077  0.9381
Se  0.1923  0.4201  0.5619
Se  0.3077  0.9381  0.0799
Se  0.4201  0.5619  0.1923
Se  0.4381  0.8077  0.5799
Se  0.5619  0.1923  0.4201
Se  0.5799  0.4381  0.8077
Se  0.6923  0.0619  0.9201
Se  0.8077  0.5799  0.4381
Se  0.9201  0.6923  0.0619
Se  0.9381  0.0799  0.3077

Values from the calculation:
Raw formation energy, eV/atom: -1.86
Calculated total energy, eV per atom: -5.66
Density, g/cm3: 7.954
V, Å³/f.u.: 323.7



(3)
Entry from Alexandria via LeMat-Bulk: a geometry-optimized CuTcS2 structure (GGA-PBE).

Unit cell a=4.2350 b=4.2350 c=4.2350 alpha=60.00 beta=60.00 gamma=60.00
Atoms (fractional coordinates):
Cu  0.0000  0.0000  0.0000
Tc  0.5000  0.5000  0.5000
S  0.2500  0.2500  0.2500
S  0.7500  0.7500  0.7500

Values from the calculation:
Raw formation energy, eV/atom: 0.13
Calculated total energy, eV per atom: -5.55
Density, g/cm3: 6.977
V, Å³/f.u.: 53.7
Offset from the most stable computed form, meV/atom: 324



The DOS at the Fermi energy results, record by record, are as follows: 1.093 0.441 0.196 states/eV per atom.